# GGA-PBE CaPmMgAu, relaxed
data_CaPmMgAu
_space_group_name_H-M_alt 'F -4 3 m'
_space_group_IT_number 216
_space_group_name_Hall 'F -4 2 3'
_cell_length_a 7.490
_cell_length_b 7.490
_cell_length_c 7.490
_cell_angle_alpha 90.00
_cell_angle_beta 90.00
_cell_angle_gamma 90.00
loop_
_atom_site_label
_atom_site_type_symbol
_atom_site_fract_x
_atom_site_fract_y
_atom_site_fract_z
Ca1 Ca 0.000 0.000 0.000
Pm1 Pm 0.000 0.000 0.500
Mg1 Mg 0.250 0.250 0.250
Au1 Au 0.250 0.250 0.750
# * electronic total energy: -3.305 eV per atom
# * formation energy: -38.5 kJ per mole of atoms
# * total magnetic moment: 0.00 Bohr magnetons per cell



# GGA-PBE RbCa2MgAu, relaxed
data_RbCa2MgAu
_space_group_name_H-M_alt 'P 4/m m m'
_space_group_IT_number 123
_space_group_name_Hall '-P 4 2'
_cell_length_a 5.896
_cell_length_b 5.896
_cell_length_c 5.438
_cell_angle_alpha 90.00
_cell_angle_beta 90.00
_cell_angle_gamma 90.00
loop_
_atom_site_label
_atom_site_type_symbol
_atom_site_fract_x
_atom_site_fract_y
_atom_site_fract_z
Rb1 Rb 0.000 0.000 0.000
Ca1 Ca 0.000 0.500 0.500
Mg1 Mg 0.500 0.500 0.000
Au1 Au 0.500 0.500 0.500
# * electronic total energy: -2.172 eV per atom
# * formation energy: -19.7 kJ per mole of atoms
# * total magnetic moment: 0.00 Bohr magnetons per cell



# GGA-PBE CaMgRhAu2, relaxed
data_CaMgRhAu2
_space_group_name_H-M_alt 'P 4/m m m'
_space_group_IT_number 123
_space_group_name_Hall '-P 4 2'
_cell_length_a 5.187
_cell_length_b 5.187
_cell_length_c 4.936
_cell_angle_alpha 90.00
_cell_angle_beta 90.00
_cell_angle_gamma 90.00
loop_
_atom_site_label
_atom_site_type_symbol
_atom_site_fract_x
_atom_site_fract_y
_atom_site_fract_z
Ca1 Ca 0.000 0.000 0.000
Mg1 Mg 0.500 0.500 0.000
Rh1 Rh 0.000 0.000 0.500
Au1 Au 0.000 0.500 0.500
# * electronic total energy: -3.318 eV per atom
# * formation energy: 17.6 kJ per mole of atoms
# * total magnetic moment: 0.00 Bohr magnetons per cell



# GGA-PBE CaMgScAu, relaxed
data_CaMgScAu
_space_group_name_H-M_alt 'F -4 3 m'
_space_group_IT_number 216
_space_group_name_Hall 'F -4 2 3'
_cell_length_a 7.187
_cell_length_b 7.187
_cell_length_c 7.187
_cell_angle_alpha 90.00
_cell_angle_beta 90.00
_cell_angle_gamma 90.00
loop_
_atom_site_label
_atom_site_type_symbol
_atom_site_fract_x
_atom_site_fract_y
_atom_site_fract_z
Ca1 Ca 0.000 0.000 0.000
Mg1 Mg 0.250 0.250 0.250
Sc1 Sc 0.000 0.000 0.500
Au1 Au 0.250 0.250 0.750
# * electronic total energy: -3.640 eV per atom
# * formation energy: -32.7 kJ per mole of atoms
# * total magnetic moment: 0.00 Bohr magnetons per cell



# GGA-PBE CaMg2AuSe, relaxed
data_CaMg2AuSe
_space_group_name_H-M_alt 'P 4/m m m'
_space_group_IT_number 123
_space_group_name_Hall '-P 4 2'
_cell_length_a 4.975
_cell_length_b 4.975
_cell_length_c 5.451
_cell_angle_alpha 90.00
_cell_angle_beta 90.00
_cell_angle_gamma 90.00
loop_
_atom_site_label
_atom_site_type_symbol
_atom_site_fract_x
_atom_site_fract_y
_atom_site_fract_z
Ca1 Ca 0.000 0.000 0.000
Mg1 Mg 0.000 0.500 0.500
Au1 Au 0.500 0.500 0.000
Se1 Se 0.000 0.000 0.500
# * electronic total energy: -2.705 eV per atom
# * raw formation energy: -30.3 kJ per mole of atoms
# * total magnetic moment: 0.00 Bohr magnetons per cell



# GGA-PBE CaMg2SiAu4, relaxed
data_CaMg2SiAu4
_space_group_name_H-M_alt 'R -3 m'
_space_group_IT_number 166
_space_group_name_Hall '-R 3 2"'
_cell_length_a 4.6633
_cell_length_b 4.6633
_cell_length_c 24.8184
_cell_angle_alpha 90.00
_cell_angle_beta 90.00
_cell_angle_gamma 120.00
loop_
_atom_site_label
_atom_site_type_symbol
_atom_site_fract_x
_atom_site_fract_y
_atom_site_fract_z
Ca1 Ca 0.0000 0.0000 0.0000
Mg1 Mg 0.0000 0.0000 0.2452
Si1 Si 0.0000 0.0000 0.5000
Au1 Au 0.0000 0.0000 0.1277
Au2 Au 0.0000 0.0000 0.3939
# * electronic total energy: -3.385 eV per atom
# * raw formation energy: -40.4 kJ per mole of atoms
# * total magnetic moment: 0.00 Bohr magnetons per cell



# GGA-PBE CaMgSiAu6, relaxed
data_CaMgSiAu6
_space_group_name_H-M_alt 'I m m a'
_space_group_IT_number 74
_space_group_name_Hall '-I 2b 2'
_cell_length_a 7.144
_cell_length_b 9.307
_cell_length_c 10.950
_cell_angle_alpha 90.00
_cell_angle_beta 90.00
_cell_angle_gamma 90.00
loop_
_atom_site_label
_atom_site_type_symbol
_atom_site_fract_x
_atom_site_fract_y
_atom_site_fract_z
Ca1 Ca 0.000 0.250 0.220
Mg1 Mg 0.250 0.250 0.750
Si1 Si 0.000 0.000 0.000
Au1 Au 0.000 0.250 0.532
Au2 Au 0.000 0.250 0.938
Au3 Au 0.202 0.016 0.372
# * electronic total energy: -3.507 eV per atom
# * raw formation energy: -30.9 kJ per mole of atoms
# * total magnetic moment: 0.00 Bohr magnetons per cell



# GGA-PBE CaSmMg2Au4, relaxed
data_CaSmMg2Au4
_space_group_name_H-M_alt 'R -3 m'
_space_group_IT_number 166
_space_group_name_Hall '-R 3 2"'
_cell_length_a 5.0262
_cell_length_b 5.0262
_cell_length_c 23.7199
_cell_angle_alpha 90.00
_cell_angle_beta 90.00
_cell_angle_gamma 120.00
loop_
_atom_site_label
_atom_site_type_symbol
_atom_site_fract_x
_atom_site_fract_y
_atom_site_fract_z
Ca1 Ca 0.0000 0.0000 0.0000
Sm1 Sm 0.0000 0.0000 0.5000
Mg1 Mg 0.0000 0.0000 0.2509
Au1 Au 0.0000 0.0000 0.1286
Au2 Au 0.0000 0.0000 0.3725
# * electronic total energy: -3.584 eV per atom
# * formation energy: -68.1 kJ per mole of atoms
# * total magnetic moment: 0.00 Bohr magnetons per cell